Entry from Alexandria via LeMat-Bulk: a relaxed structure of Ac2Pd2O7 (PBE). Values from VASP.

The volume comes out at 14.4 Å³/atom. The space-group type is Fd-3m (227). The value obtained for the formation energy without anion corrections is -1.7398 eV per atom. The energy comes out at -144.89 eV per cell.

Structure (Quantum ESPRESSO input):
```
&SYSTEM
  ibrav = 0, nat = 22, ntyp = 3
/
ATOMIC_SPECIES
O 16.00 O.upf
Ac 227.00 Ac.upf
Pd 106.42 Pd.upf
CELL_PARAMETERS angstrom
-7.246 -0.437 2.437
-2.835 -6.697 2.398
-1.480 -1.090 7.433
ATOMIC_POSITIONS crystal
O 0.204 0.796 0.204
Ac 0.625 0.625 0.625
O 0.204 0.204 0.796
Pd 0.125 0.625 0.125
O 0.454 0.454 0.046
Ac 0.625 0.125 0.625
O 0.796 0.204 0.204
O 0.750 0.750 0.750
O 0.796 0.796 0.204
O 0.796 0.204 0.796
Pd 0.125 0.125 0.625
O 0.454 0.046 0.454
O 0.046 0.454 0.454
Pd 0.125 0.125 0.125
O 0.046 0.454 0.046
O 0.500 0.500 0.500
Ac 0.625 0.625 0.125
Pd 0.625 0.125 0.125
Ac 0.125 0.625 0.625
O 0.454 0.046 0.046
O 0.204 0.796 0.796
O 0.046 0.046 0.454
```

=====

Entry from Alexandria via LeMat-Bulk: a relaxed structure of Ac2PdO (PBE). Values from VASP.

The volume comes out at 25.4 Å³/atom. The space-group type is R-3m (166). The value obtained for the formation energy without anion corrections is -1.5299 eV per atom. The energy comes out at -24.49 eV per cell. As for the distance to the lowest polymorph of the same formula: 0.096 eV/atom.

Structure (Quantum ESPRESSO input):
```
&SYSTEM
  ibrav = 0, nat = 4, ntyp = 3
/
ATOMIC_SPECIES
O 16.00 O.upf
Pd 106.42 Pd.upf
Ac 227.00 Ac.upf
CELL_PARAMETERS angstrom
-3.136 2.555 0.677
-1.044 0.992 3.840
2.986 6.615 1.292
ATOMIC_POSITIONS crystal
O 0.500 0.500 0.500
Pd 0.000 0.000 0.000
Ac 0.240 0.240 0.280
Ac 0.760 0.760 0.720
```

=====

Entry from Alexandria via LeMat-Bulk: a relaxed structure of Ac2PdO (PBE). Values from VASP.

The volume comes out at 23.0 Å³/atom. The space-group type is P4/mmm (123). The value obtained for the formation energy without anion corrections is -1.1472 eV per atom. The energy comes out at -22.96 eV per cell. As for the distance to the lowest polymorph of the same formula: 0.478 eV/atom.

Structure (Quantum ESPRESSO input):
```
&SYSTEM
  ibrav = 0, nat = 4, ntyp = 3
/
ATOMIC_SPECIES
Ac 227.00 Ac.upf
O 16.00 O.upf
Pd 106.42 Pd.upf
CELL_PARAMETERS angstrom
-0.472 3.074 1.640
-2.936 0.540 -1.858
-3.970 -3.426 5.278
ATOMIC_POSITIONS crystal
Ac 0.000 0.000 0.229
O 0.500 0.500 0.000
Ac 0.000 0.000 0.771
Pd 0.500 0.500 0.500
```

=====

Entry from Alexandria via LeMat-Bulk: a relaxed structure of Ac5Pd4O (PBE). Values from VASP.

The volume comes out at 29.1 Å³/atom. The space-group type is I4 (79). The value obtained for the formation energy without anion corrections is -1.0947 eV per atom. The energy comes out at -57.22 eV per cell.

Structure (Quantum ESPRESSO input):
```
&SYSTEM
  ibrav = 0, nat = 10, ntyp = 3
/
ATOMIC_SPECIES
Ac 227.00 Ac.upf
Pd 106.42 Pd.upf
O 16.00 O.upf
CELL_PARAMETERS angstrom
-1.651 3.881 4.613
2.152 -2.192 6.849
5.045 5.338 1.549
ATOMIC_POSITIONS crystal
Ac 0.094 0.619 0.191
Pd 0.596 0.603 0.203
Ac 0.903 0.381 0.809
Ac 0.285 0.809 0.619
Pd 0.403 0.397 0.797
Pd 0.199 0.203 0.397
Pd 0.800 0.797 0.603
Ac 0.450 0.000 0.000
O 0.069 0.000 0.000
Ac 0.712 0.191 0.381
```

=====

Entry from Alexandria via LeMat-Bulk: a relaxed structure of AcPdO3 (PBE). Values from VASP.

The volume comes out at 13.7 Å³/atom. The space-group type is Pm-3m (221). The value obtained for the formation energy without anion corrections is -1.8175 eV per atom. The energy comes out at -33.26 eV per cell.

Structure (Quantum ESPRESSO input):
```
&SYSTEM
  ibrav = 0, nat = 5, ntyp = 3
/
ATOMIC_SPECIES
Pd 106.42 Pd.upf
O 16.00 O.upf
Ac 227.00 Ac.upf
CELL_PARAMETERS angstrom
4.093 0.000 0.000
0.000 4.093 0.000
0.000 0.000 4.093
ATOMIC_POSITIONS crystal
Pd 0.500 0.500 0.500
O 0.000 0.500 0.500
O 0.500 0.000 0.500
Ac 0.000 0.000 0.000
O 0.500 0.500 0.000
```

=====

Entry from Alexandria via LeMat-Bulk: a relaxed structure of Ac3Pd2O9 (PBE). Values from VASP.

The volume comes out at 13.5 Å³/atom. The space-group type is R-3c (167). The value obtained for the formation energy without anion corrections is -1.9342 eV per atom. The energy comes out at -188.83 eV per cell.

Structure (Quantum ESPRESSO input):
```
&SYSTEM
  ibrav = 0, nat = 28, ntyp = 3
/
ATOMIC_SPECIES
Pd 106.42 Pd.upf
O 16.00 O.upf
Ac 227.00 Ac.upf
CELL_PARAMETERS angstrom
-2.433 3.367 -5.944
0.228 -5.902 -4.207
-6.946 -1.796 1.054
ATOMIC_POSITIONS crystal
Pd 0.848 0.848 0.848
O 0.908 0.268 0.082
Pd 0.152 0.152 0.152
O 0.750 0.587 0.913
Pd 0.348 0.348 0.348
Ac 0.907 0.593 0.250
O 0.250 0.413 0.087
O 0.768 0.408 0.582
O 0.082 0.908 0.268
O 0.418 0.232 0.592
O 0.413 0.087 0.250
O 0.918 0.092 0.732
O 0.592 0.418 0.232
O 0.268 0.082 0.908
O 0.087 0.250 0.413
O 0.913 0.750 0.587
O 0.732 0.918 0.092
O 0.408 0.582 0.768
Pd 0.652 0.652 0.652
Ac 0.750 0.093 0.407
O 0.582 0.768 0.408
Ac 0.407 0.750 0.093
O 0.232 0.592 0.418
Ac 0.093 0.407 0.750
O 0.587 0.913 0.750
Ac 0.593 0.250 0.907
O 0.092 0.732 0.918
Ac 0.250 0.907 0.593
```

=====

Entry from Alexandria via LeMat-Bulk: a relaxed structure of AcPd2O6 (PBE). Values from VASP.

The volume comes out at 14.4 Å³/atom. The space-group type is P-31m (162). The value obtained for the formation energy without anion corrections is -1.1772 eV per atom. The energy comes out at -54.84 eV per cell.

Structure (Quantum ESPRESSO input):
```
&SYSTEM
  ibrav = 0, nat = 9, ntyp = 3
/
ATOMIC_SPECIES
O 16.00 O.upf
Pd 106.42 Pd.upf
Ac 227.00 Ac.upf
CELL_PARAMETERS angstrom
5.352 0.000 0.000
0.000 4.575 -2.641
0.000 0.000 5.283
ATOMIC_POSITIONS crystal
O 0.291 0.000 0.629
Pd 0.500 0.333 0.667
O 0.291 0.371 0.371
O 0.291 0.629 0.000
Pd 0.500 0.667 0.333
O 0.709 0.371 0.000
Ac 0.000 0.000 0.000
O 0.709 0.000 0.371
O 0.709 0.629 0.629
```

=====

Entry from Alexandria via LeMat-Bulk: a relaxed structure of Ac2PdO (PBE). Values from VASP.

The volume comes out at 27.9 Å³/atom. The space-group type is P2/c (13). The value obtained for the formation energy without anion corrections is -1.6255 eV per atom. The energy comes out at -99.48 eV per cell. As for the distance to the lowest polymorph of the same formula: 0.000 eV/atom.

Structure (Quantum ESPRESSO input):
```
&SYSTEM
  ibrav = 0, nat = 16, ntyp = 3
/
ATOMIC_SPECIES
O 16.00 O.upf
Ac 227.00 Ac.upf
Pd 106.42 Pd.upf
CELL_PARAMETERS angstrom
6.410 0.000 0.000
0.000 6.336 0.069
0.000 -0.782 10.970
ATOMIC_POSITIONS crystal
O 0.137 0.910 0.877
Ac 0.216 0.972 0.646
Ac 0.761 0.514 0.603
Ac 0.784 0.028 0.354
O 0.863 0.410 0.377
Ac 0.761 0.986 0.897
O 0.137 0.590 0.623
Pd 0.712 0.483 0.875
O 0.863 0.090 0.123
Ac 0.784 0.472 0.146
Ac 0.216 0.528 0.854
Pd 0.712 0.017 0.625
Ac 0.239 0.014 0.103
Pd 0.288 0.983 0.375
Ac 0.239 0.486 0.397
Pd 0.288 0.517 0.125
```